Computed, not measured: a geometry-optimized BaCaAs2 structure at the PBE level of DFT.

The calculation puts the polymorph energy (0 for the lowest one) at 123.6 meV/atom. The value obtained for the formation energy is -0.81 eV per atom. The value obtained for the total energy is -0.1511 hartree per atom. The total magnetic moment comes out at 0.000 μB per cell.

abc: 8.9378 4.5303 6.5257
angles: 90.00 111.32 90.00
Closest atoms and distances in Å follow each position.
Space group C2/m (No. 12)
Symmetry-distinct sites (fractional):
Ba (0.0000, 0.0000, 0.0000) [2 per cell]  6 As 3.34-3.44
Ca (0.0000, 0.5000, 0.5000) [2 per cell]  6 As 3.01-3.06
As (0.2406, 0.0000, 0.6911) [4 per cell]  3 Ca 3.01-3.06, 2 Ba 3.34